Entry from the Alexandria database: a relaxed structure of K4Y3NpS8 (PBE-GGA).

The electronic total energy comes out at -6.12 eV/atom. Its formation energy (no corrections) is -1757 meV/atom.

The space group is R-3m (No. 166, hexagonal axes) and the conventional cell measures 8.1495, 8.1495 and 22.1033 Å, with angles of 90.00, 90.00 and 120.00 degrees. The inequivalent atoms are K at (0.0000, 0.0000, 0.0000), K at (0.0000, 0.5000, 0.0000), Y at (0.0000, 0.5000, 0.5000), Np at (0.0000, 0.0000, 0.5000), S at (0.0000, 0.0000, 0.2342) and S at (0.0026, 0.5013, 0.7660).